DFT (PBE) results for PmTm2In after structural relaxation.

Lattice parameters (Å, degrees): 5.436 5.436 5.436 60.00 60.00 60.00
Positions (direct):
Pm: 0.000 0.000 0.000
Tm: 0.250 0.250 0.250
Tm: 0.750 0.750 0.750
In: 0.500 0.500 0.500

## Properties
Formation energy from the elements in eV/atom: -0.08
Energy above the most stable polymorph in this dataset in meV/atom: 182
Fermi-level density of states in states/eV per cell: 5.93
Volume in Å³ per cell: 113.6
M_tot in μB per formula unit: 1.40